1.
# NdSmAl6 (PBE, relaxed)
data_NdSmAl6
_chemical_formula_sum 'Nd1 Sm1 Al6'
_cell_length_a 6.444
_cell_length_b 6.444
_cell_length_c 4.651
_cell_angle_alpha 90.00
_cell_angle_beta 90.00
_cell_angle_gamma 120.00
_space_group_name_H-M_alt 'P 1'
_space_group_IT_number 1
loop_
_space_group_symop_operation_xyz
'x,y,z'
loop_
_atom_site_label
_atom_site_fract_x
_atom_site_fract_y
_atom_site_fract_z
Nd1 0.000 0.000 0.000
Sm1 0.667 0.333 0.500
Al1 0.049 0.524 0.000
Al2 0.192 0.383 0.500
Al3 0.192 0.808 0.500
Al4 0.476 0.524 0.000
Al5 0.476 0.951 0.000
Al6 0.617 0.808 0.500
# - formation energy (eV/atom) = -0.45
# - V (Å³ per atom) = 20.9
# - SG = P-6m2, No. 187
# - total moment (μB/f.u.) = 0.00



2.
# Pm5Sm2Tm3 (PBE, relaxed)
data_Pm5Sm2Tm3
_chemical_formula_sum 'Pm10 Sm4 Tm6'
_cell_length_a 9.431
_cell_length_b 9.431
_cell_length_c 9.704
_cell_angle_alpha 108.52
_cell_angle_beta 108.52
_cell_angle_gamma 109.92
_space_group_name_H-M_alt 'P 1'
_space_group_IT_number 1
loop_
_space_group_symop_operation_xyz
'x,y,z'
loop_
_atom_site_label
_atom_site_fract_x
_atom_site_fract_y
_atom_site_fract_z
Pm1 0.032 0.968 0.750
Pm2 0.118 0.350 0.723
Pm3 0.231 0.769 0.750
Pm4 0.269 0.731 0.250
Pm5 0.350 0.118 0.223
Pm6 0.650 0.882 0.777
Pm7 0.731 0.269 0.750
Pm8 0.769 0.231 0.250
Pm9 0.882 0.650 0.277
Pm10 0.968 0.032 0.250
Sm1 0.235 0.477 0.448
Sm2 0.477 0.235 0.948
Sm3 0.523 0.765 0.052
Sm4 0.765 0.523 0.552
Tm1 0.038 0.278 0.048
Tm2 0.278 0.038 0.548
Tm3 0.475 0.525 0.250
Tm4 0.525 0.475 0.750
Tm5 0.722 0.962 0.452
Tm6 0.962 0.722 0.952
# - formation energy (eV/atom) = 0.19
# - V (Å³ per atom) = 33.8
# - SG = C2/c, No. 15
# - total moment (μB/f.u.) = 0.00



3.
# CaInRe3 (PBE, relaxed)
data_CaInRe3
_chemical_formula_sum 'Ca1 In1 Re3'
_cell_length_a 4.926
_cell_length_b 4.926
_cell_length_c 4.926
_cell_angle_alpha 90.00
_cell_angle_beta 90.00
_cell_angle_gamma 90.00
_space_group_name_H-M_alt 'P 1'
_space_group_IT_number 1
loop_
_space_group_symop_operation_xyz
'x,y,z'
loop_
_atom_site_label
_atom_site_fract_x
_atom_site_fract_y
_atom_site_fract_z
Ca1 0.000 0.000 0.000
In1 0.500 0.500 0.500
Re1 0.000 0.500 0.500
Re2 0.500 0.000 0.500
Re3 0.500 0.500 0.000
# - formation energy (eV/atom) = 2.47
# - V (Å³ per atom) = 23.9
# - SG = Pm-3m, No. 221
# - total moment (μB/f.u.) = 1.41



4.
# InAgIr2 (PBE, relaxed)
data_InAgIr2
_chemical_formula_sum 'In2 Ag2 Ir4'
_cell_length_a 2.861
_cell_length_b 4.764
_cell_length_c 10.245
_cell_angle_alpha 90.00
_cell_angle_beta 90.00
_cell_angle_gamma 90.00
_space_group_name_H-M_alt 'P 1'
_space_group_IT_number 1
loop_
_space_group_symop_operation_xyz
'x,y,z'
loop_
_atom_site_label
_atom_site_fract_x
_atom_site_fract_y
_atom_site_fract_z
In1 0.000 0.000 0.000
In2 0.500 0.500 0.500
Ag1 0.000 0.500 0.213
Ag2 0.500 0.000 0.713
Ir1 0.000 0.000 0.451
Ir2 0.000 0.500 0.741
Ir3 0.500 0.000 0.241
Ir4 0.500 0.500 0.951
# - formation energy (eV/atom) = 0.27
# - V (Å³ per atom) = 17.5
# - SG = Imm2, No. 44
# - total moment (μB/f.u.) = 0.00



5.
# CaSc2ReN4 (PBE, relaxed)
data_CaSc2ReN4
_chemical_formula_sum 'Ca2 Sc4 Re2 N8'
_cell_length_a 5.930
_cell_length_b 5.930
_cell_length_c 11.540
_cell_angle_alpha 90.00
_cell_angle_beta 90.00
_cell_angle_gamma 148.73
_space_group_name_H-M_alt 'P 1'
_space_group_IT_number 1
loop_
_space_group_symop_operation_xyz
'x,y,z'
loop_
_atom_site_label
_atom_site_fract_x
_atom_site_fract_y
_atom_site_fract_z
Ca1 0.083 0.917 0.750
Ca2 0.917 0.083 0.250
Sc1 0.373 0.627 0.538
Sc2 0.373 0.627 0.962
Sc3 0.627 0.373 0.038
Sc4 0.627 0.373 0.462
Re1 0.178 0.822 0.250
Re2 0.822 0.178 0.750
N1 0.000 0.000 0.000
N2 0.000 0.000 0.500
N3 0.261 0.739 0.110
N4 0.261 0.739 0.390
N5 0.433 0.567 0.750
N6 0.567 0.433 0.250
N7 0.739 0.261 0.610
N8 0.739 0.261 0.890
# - V (Å³ per atom) = 13.2
# - SG = Cmcm, No. 63
# - energy (eV per cell) = -137.4
# - total moment (μB/f.u.) = 0.00



6.
# ScInP2 (PBE, relaxed)
data_ScInP2
_chemical_formula_sum 'Sc4 In4 P8'
_cell_length_a 5.990
_cell_length_b 5.990
_cell_length_c 11.748
_cell_angle_alpha 90.00
_cell_angle_beta 90.00
_cell_angle_gamma 90.00
_space_group_name_H-M_alt 'P 1'
_space_group_IT_number 1
loop_
_space_group_symop_operation_xyz
'x,y,z'
loop_
_atom_site_label
_atom_site_fract_x
_atom_site_fract_y
_atom_site_fract_z
Sc1 0.000 0.000 0.000
Sc2 0.000 0.500 0.250
Sc3 0.500 0.000 0.750
Sc4 0.500 0.500 0.500
In1 0.000 0.000 0.500
In2 0.000 0.500 0.750
In3 0.500 0.000 0.250
In4 0.500 0.500 0.000
P1 0.248 0.250 0.125
P2 0.250 0.748 0.375
P3 0.250 0.752 0.875
P4 0.252 0.250 0.625
P5 0.748 0.750 0.625
P6 0.750 0.248 0.875
P7 0.750 0.252 0.375
P8 0.752 0.750 0.125
# - formation energy (eV/atom) = -0.55
# - V (Å³ per atom) = 26.3
# - SG = I-42d, No. 122
# - total moment (μB/f.u.) = 0.00



7.
# CaPdOF2 (PBE, relaxed)
data_CaPdOF2
_chemical_formula_sum 'Ca1 Pd1 O1 F2'
_cell_length_a 4.273
_cell_length_b 4.273
_cell_length_c 4.677
_cell_angle_alpha 90.00
_cell_angle_beta 90.00
_cell_angle_gamma 90.00
_space_group_name_H-M_alt 'P 1'
_space_group_IT_number 1
loop_
_space_group_symop_operation_xyz
'x,y,z'
loop_
_atom_site_label
_atom_site_fract_x
_atom_site_fract_y
_atom_site_fract_z
Ca1 0.000 0.000 0.000
Pd1 0.500 0.500 0.500
O1 0.000 0.000 0.500
F1 0.000 0.500 0.000
F2 0.500 0.000 0.000
# - V (Å³ per atom) = 17.1
# - SG = P4/mmm, No. 123
# - energy (eV per cell) = -23.3
# - total moment (μB/f.u.) = 2.00



8.
# TmNiPd2 (PBE, relaxed)
data_TmNiPd2
_chemical_formula_sum 'Tm4 Ni4 Pd8'
_cell_length_a 6.438
_cell_length_b 6.438
_cell_length_c 6.438
_cell_angle_alpha 90.00
_cell_angle_beta 90.00
_cell_angle_gamma 90.00
_space_group_name_H-M_alt 'P 1'
_space_group_IT_number 1
loop_
_space_group_symop_operation_xyz
'x,y,z'
loop_
_atom_site_label
_atom_site_fract_x
_atom_site_fract_y
_atom_site_fract_z
Tm1 0.000 0.000 0.000
Tm2 0.000 0.500 0.500
Tm3 0.500 0.000 0.500
Tm4 0.500 0.500 0.000
Ni1 0.000 0.000 0.500
Ni2 0.000 0.500 0.000
Ni3 0.500 0.000 0.000
Ni4 0.500 0.500 0.500
Pd1 0.250 0.250 0.250
Pd2 0.250 0.250 0.750
Pd3 0.250 0.750 0.250
Pd4 0.250 0.750 0.750
Pd5 0.750 0.250 0.250
Pd6 0.750 0.250 0.750
Pd7 0.750 0.750 0.250
Pd8 0.750 0.750 0.750
# - formation energy (eV/atom) = -0.55
# - V (Å³ per atom) = 16.7
# - SG = Fm-3m, No. 225
# - total moment (μB/f.u.) = 0.00



9.
# TlAu (PBE, relaxed)
data_TlAu
_chemical_formula_sum 'Tl6 Au6'
_cell_length_a 4.559
_cell_length_b 4.559
_cell_length_c 17.691
_cell_angle_alpha 90.00
_cell_angle_beta 90.00
_cell_angle_gamma 120.00
_space_group_name_H-M_alt 'P 1'
_space_group_IT_number 1
loop_
_space_group_symop_operation_xyz
'x,y,z'
loop_
_atom_site_label
_atom_site_fract_x
_atom_site_fract_y
_atom_site_fract_z
Tl1 0.000 0.000 0.107
Tl2 0.000 0.000 0.893
Tl3 0.333 0.667 0.560
Tl4 0.333 0.667 0.773
Tl5 0.667 0.333 0.227
Tl6 0.667 0.333 0.440
Au1 0.000 0.000 0.361
Au2 0.000 0.000 0.639
Au3 0.333 0.667 0.028
Au4 0.333 0.667 0.306
Au5 0.667 0.333 0.694
Au6 0.667 0.333 0.972
# - formation energy (eV/atom) = 0.01
# - V (Å³ per atom) = 26.5
# - SG = R-3m, No. 166
# - total moment (μB/f.u.) = 0.00



10.
# PaV2 (PBE, relaxed)
data_PaV2
_chemical_formula_sum 'Pa2 V4'
_cell_length_a 5.284
_cell_length_b 5.284
_cell_length_c 5.284
_cell_angle_alpha 60.00
_cell_angle_beta 60.00
_cell_angle_gamma 60.00
_space_group_name_H-M_alt 'P 1'
_space_group_IT_number 1
loop_
_space_group_symop_operation_xyz
'x,y,z'
loop_
_atom_site_label
_atom_site_fract_x
_atom_site_fract_y
_atom_site_fract_z
Pa1 0.125 0.125 0.125
Pa2 0.875 0.875 0.875
V1 0.000 0.500 0.500
V2 0.500 0.000 0.500
V3 0.500 0.500 0.000
V4 0.500 0.500 0.500
# - formation energy (eV/atom) = 0.03
# - V (Å³ per atom) = 17.4
# - SG = Fd-3m, No. 227
# - total moment (μB/f.u.) = 0.00



11.
# Mg5NO4 (PBE, relaxed)
data_Mg5NO4
_chemical_formula_sum 'Mg5 N1 O4'
_cell_length_a 5.266
_cell_length_b 5.266
_cell_length_c 5.266
_cell_angle_alpha 99.55
_cell_angle_beta 99.55
_cell_angle_gamma 131.91
_space_group_name_H-M_alt 'P 1'
_space_group_IT_number 1
loop_
_space_group_symop_operation_xyz
'x,y,z'
loop_
_atom_site_label
_atom_site_fract_x
_atom_site_fract_y
_atom_site_fract_z
Mg1 0.000 0.000 0.000
Mg2 0.197 0.603 0.800
Mg3 0.397 0.197 0.594
Mg4 0.603 0.803 0.406
Mg5 0.803 0.397 0.200
N1 0.500 0.500 0.000
O1 0.102 0.303 0.405
O2 0.303 0.898 0.201
O3 0.697 0.102 0.799
O4 0.898 0.697 0.595
# - V (Å³ per atom) = 9.9
# - SG = I4/m, No. 87
# - energy (eV per cell) = -57.3
# - total moment (μB/f.u.) = 1.01



12.
# KLi2Ta (PBE, relaxed)
data_KLi2Ta
_chemical_formula_sum 'K4 Li8 Ta4'
_cell_length_a 8.005
_cell_length_b 8.005
_cell_length_c 6.760
_cell_angle_alpha 90.00
_cell_angle_beta 90.00
_cell_angle_gamma 90.00
_space_group_name_H-M_alt 'P 1'
_space_group_IT_number 1
loop_
_space_group_symop_operation_xyz
'x,y,z'
loop_
_atom_site_label
_atom_site_fract_x
_atom_site_fract_y
_atom_site_fract_z
K1 0.000 0.000 0.000
K2 0.000 0.500 0.250
K3 0.500 0.000 0.750
K4 0.500 0.500 0.500
Li1 0.232 0.750 0.625
Li2 0.250 0.232 0.375
Li3 0.250 0.268 0.875
Li4 0.268 0.750 0.125
Li5 0.732 0.250 0.125
Li6 0.750 0.732 0.875
Li7 0.750 0.768 0.375
Li8 0.768 0.250 0.625
Ta1 0.000 0.000 0.500
Ta2 0.000 0.500 0.750
Ta3 0.500 0.000 0.250
Ta4 0.500 0.500 0.000
# - formation energy (eV/atom) = 1.37
# - V (Å³ per atom) = 27.1
# - SG = I-42d, No. 122
# - total moment (μB/f.u.) = 3.68



13.
# Lu2ScCo (PBE, relaxed)
data_Lu2ScCo
_chemical_formula_sum 'Lu2 Sc1 Co1'
_cell_length_a 3.309
_cell_length_b 3.309
_cell_length_c 8.234
_cell_angle_alpha 90.00
_cell_angle_beta 90.00
_cell_angle_gamma 90.00
_space_group_name_H-M_alt 'P 1'
_space_group_IT_number 1
loop_
_space_group_symop_operation_xyz
'x,y,z'
loop_
_atom_site_label
_atom_site_fract_x
_atom_site_fract_y
_atom_site_fract_z
Lu1 0.000 0.000 0.192
Lu2 0.000 0.000 0.808
Sc1 0.500 0.500 0.500
Co1 0.500 0.500 0.000
# - formation energy (eV/atom) = -0.11
# - V (Å³ per atom) = 22.5
# - SG = P4/mmm, No. 123
# - total moment (μB/f.u.) = 1.53



14.
# Dy2Cd2Ir (PBE, relaxed)
data_Dy2Cd2Ir
_chemical_formula_sum 'Dy4 Cd4 Ir2'
_cell_length_a 3.430
_cell_length_b 3.430
_cell_length_c 19.749
_cell_angle_alpha 90.00
_cell_angle_beta 90.00
_cell_angle_gamma 90.00
_space_group_name_H-M_alt 'P 1'
_space_group_IT_number 1
loop_
_space_group_symop_operation_xyz
'x,y,z'
loop_
_atom_site_label
_atom_site_fract_x
_atom_site_fract_y
_atom_site_fract_z
Dy1 0.000 0.000 0.085
Dy2 0.000 0.000 0.915
Dy3 0.500 0.500 0.415
Dy4 0.500 0.500 0.585
Cd1 0.000 0.000 0.298
Cd2 0.000 0.000 0.702
Cd3 0.500 0.500 0.202
Cd4 0.500 0.500 0.798
Ir1 0.000 0.000 0.500
Ir2 0.500 0.500 0.000
# - formation energy (eV/atom) = -0.51
# - V (Å³ per atom) = 23.2
# - SG = I4/mmm, No. 139
# - total moment (μB/f.u.) = 0.00



15.
# CsNaCuH3 (PBE, relaxed)
data_CsNaCuH3
_chemical_formula_sum 'Cs2 Na2 Cu2 H6'
_cell_length_a 7.656
_cell_length_b 3.699
_cell_length_c 8.676
_cell_angle_alpha 90.00
_cell_angle_beta 112.38
_cell_angle_gamma 90.00
_space_group_name_H-M_alt 'P 1'
_space_group_IT_number 1
loop_
_space_group_symop_operation_xyz
'x,y,z'
loop_
_atom_site_label
_atom_site_fract_x
_atom_site_fract_y
_atom_site_fract_z
Cs1 0.234 0.250 0.263
Cs2 0.766 0.750 0.737
Na1 0.350 0.250 0.849
Na2 0.650 0.750 0.151
Cu1 0.121 0.750 0.555
Cu2 0.879 0.250 0.445
H1 0.061 0.250 0.622
H2 0.316 0.750 0.016
H3 0.346 0.750 0.636
H4 0.654 0.250 0.364
H5 0.684 0.250 0.984
H6 0.939 0.750 0.378
# - V (Å³ per atom) = 18.9
# - SG = P2_1/m, No. 11
# - energy (eV per cell) = -33.7
# - total moment (μB/f.u.) = 0.00



16.
# PO (PBE, relaxed)
data_PO
_chemical_formula_sum 'P6 O6'
_cell_length_a 6.024
_cell_length_b 6.024
_cell_length_c 6.024
_cell_angle_alpha 90.00
_cell_angle_beta 90.00
_cell_angle_gamma 90.00
_space_group_name_H-M_alt 'P 1'
_space_group_IT_number 1
loop_
_space_group_symop_operation_xyz
'x,y,z'
loop_
_atom_site_label
_atom_site_fract_x
_atom_site_fract_y
_atom_site_fract_z
P1 0.000 0.250 0.500
P2 0.000 0.750 0.500
P3 0.250 0.500 0.000
P4 0.500 0.000 0.250
P5 0.500 0.000 0.750
P6 0.750 0.500 0.000
O1 0.000 0.500 0.250
O2 0.000 0.500 0.750
O3 0.250 0.000 0.500
O4 0.500 0.250 0.000
O5 0.500 0.750 0.000
O6 0.750 0.000 0.500
# - V (Å³ per atom) = 18.2
# - SG = Pm-3n, No. 223
# - energy (eV per cell) = -55.8
# - total moment (μB/f.u.) = 0.00



17.
# Cd3Mo (PBE, relaxed)
data_Cd3Mo
_chemical_formula_sum 'Cd6 Mo2'
_cell_length_a 2.990
_cell_length_b 5.127
_cell_length_c 10.303
_cell_angle_alpha 90.00
_cell_angle_beta 90.00
_cell_angle_gamma 90.00
_space_group_name_H-M_alt 'P 1'
_space_group_IT_number 1
loop_
_space_group_symop_operation_xyz
'x,y,z'
loop_
_atom_site_label
_atom_site_fract_x
_atom_site_fract_y
_atom_site_fract_z
Cd1 0.000 0.000 0.000
Cd2 0.000 0.500 0.243
Cd3 0.000 0.500 0.757
Cd4 0.500 0.000 0.257
Cd5 0.500 0.000 0.743
Cd6 0.500 0.500 0.500
Mo1 0.000 0.000 0.500
Mo2 0.500 0.500 0.000
# - formation energy (eV/atom) = 0.44
# - V (Å³ per atom) = 19.7
# - SG = Immm, No. 71
# - total moment (μB/f.u.) = 0.38



18.
# MnSn2Se (PBE, relaxed)
data_MnSn2Se
_chemical_formula_sum 'Mn4 Sn8 Se4'
_cell_length_a 6.370
_cell_length_b 6.370
_cell_length_c 12.423
_cell_angle_alpha 90.00
_cell_angle_beta 90.00
_cell_angle_gamma 90.00
_space_group_name_H-M_alt 'P 1'
_space_group_IT_number 1
loop_
_space_group_symop_operation_xyz
'x,y,z'
loop_
_atom_site_label
_atom_site_fract_x
_atom_site_fract_y
_atom_site_fract_z
Mn1 0.000 0.000 0.000
Mn2 0.000 0.500 0.250
Mn3 0.500 0.000 0.750
Mn4 0.500 0.500 0.500
Sn1 0.230 0.250 0.125
Sn2 0.250 0.730 0.375
Sn3 0.250 0.770 0.875
Sn4 0.270 0.250 0.625
Sn5 0.730 0.750 0.625
Sn6 0.750 0.230 0.875
Sn7 0.750 0.270 0.375
Sn8 0.770 0.750 0.125
Se1 0.000 0.000 0.500
Se2 0.000 0.500 0.750
Se3 0.500 0.000 0.250
Se4 0.500 0.500 0.000
# - V (Å³ per atom) = 31.5
# - SG = I-42d, No. 122
# - energy (eV per cell) = -77.9
# - total moment (μB/f.u.) = 3.59



19.
# Pu2AgHg (PBE, relaxed)
data_Pu2AgHg
_chemical_formula_sum 'Pu4 Ag2 Hg2'
_cell_length_a 6.241
_cell_length_b 9.547
_cell_length_c 3.200
_cell_angle_alpha 90.00
_cell_angle_beta 90.00
_cell_angle_gamma 90.00
_space_group_name_H-M_alt 'P 1'
_space_group_IT_number 1
loop_
_space_group_symop_operation_xyz
'x,y,z'
loop_
_atom_site_label
_atom_site_fract_x
_atom_site_fract_y
_atom_site_fract_z
Pu1 0.250 0.250 0.000
Pu2 0.250 0.750 0.000
Pu3 0.750 0.250 0.000
Pu4 0.750 0.750 0.000
Ag1 0.000 0.000 0.500
Ag2 0.500 0.500 0.500
Hg1 0.000 0.500 0.500
Hg2 0.500 0.000 0.500
# - formation energy (eV/atom) = -0.02
# - V (Å³ per atom) = 23.8
# - SG = Cmmm, No. 65
# - total moment (μB/f.u.) = 11.86



20.
# YScSb (PBE, relaxed)
data_YScSb
_chemical_formula_sum 'Y1 Sc1 Sb1'
_cell_length_a 4.863
_cell_length_b 4.863
_cell_length_c 3.916
_cell_angle_alpha 90.00
_cell_angle_beta 90.00
_cell_angle_gamma 120.00
_space_group_name_H-M_alt 'P 1'
_space_group_IT_number 1
loop_
_space_group_symop_operation_xyz
'x,y,z'
loop_
_atom_site_label
_atom_site_fract_x
_atom_site_fract_y
_atom_site_fract_z
Y1 0.000 0.000 0.000
Sc1 0.333 0.667 0.521
Sb1 0.667 0.333 0.389
# - V (Å³ per atom) = 26.7
# - SG = P3m1, No. 156
# - energy (eV per cell) = -18.4
# - total moment (μB/f.u.) = 0.00